(1)
Below is a relaxed RbY2SnF crystal, with properties calculated at the PBE level.

Unit cell a=5.7390 b=7.5477 c=5.7390 alpha=90.00 beta=90.00 gamma=90.00
Last column: nearest neighbours and their distance in Å.
Atoms (fractional coordinates):
Sn 0.0000 0.0000 0.0000  4 Y 2.87
Y 0.5000 0.0000 0.0000  2 Sn 2.87
Y 0.0000 0.0000 0.5000  2 Sn 2.87
F 0.5000 0.5000 0.5000  4 Rb 4.06
Rb 0.0000 0.5000 0.0000  2 Sn 3.77, 4 F 4.06

Values from the calculation:
Raw total energy   -4.16 eV per atom
Total magnetization   0.0 μB/cell
E_form (uncorrected)   -0.2095 eV/atom


(2)
Below is a relaxed Rb3Zn2SnF9 crystal, with properties calculated at the PBE level.

Unit cell a=6.1456 b=6.1456 c=7.6410 alpha=90.00 beta=90.00 gamma=120.00
Last column: nearest neighbours and their distance in Å.
Atoms (fractional coordinates):
Sn 0.0000 0.0000 0.5000  6 F 2.37
Zn 0.3333 0.6667 0.1522  6 F 2.07-2.12
Zn 0.6667 0.3333 0.8478  6 F 2.07-2.12
F 0.5000 0.0000 0.0000  2 Zn 2.12
F 0.8231 0.1769 0.6878  1 Zn 2.07
F 0.8231 0.6463 0.6878  1 Zn 2.07
F 0.5000 0.5000 0.0000  2 Zn 2.12
F 0.1769 0.8231 0.3122  1 Zn 2.07
F 0.1769 0.3537 0.3122  1 Zn 2.07
F 0.0000 0.5000 0.0000  2 Zn 2.12
F 0.3537 0.1769 0.6878  1 Zn 2.07
F 0.6463 0.8231 0.3122  1 Zn 2.07
Rb 0.3333 0.6667 0.6799  12 F 3.02-3.27
Rb 0.6667 0.3333 0.3201  12 F 3.02-3.27
Rb 0.0000 0.0000 0.0000  12 F 3.04-3.07

Values from the calculation:
Raw total energy   -4.26 eV per atom
Total magnetization   0.0 μB/cell
E_form (uncorrected)   -2.5090 eV/atom


(3)
Below is a relaxed Rb3SrF crystal, with properties calculated at the PBE level.

Unit cell a=6.3391 b=6.3391 c=6.3391 alpha=90.00 beta=90.00 gamma=90.00
Last column: nearest neighbours and their distance in Å.
Atoms (fractional coordinates):
Sr 0.5000 0.5000 0.5000  12 Rb 4.48
Rb 0.0000 0.0000 0.5000  2 F 3.17
Rb 0.0000 0.5000 0.0000  2 F 3.17
Rb 0.5000 0.0000 0.0000  2 F 3.17
F 0.0000 0.0000 0.0000  6 Rb 3.17

Values from the calculation:
Raw total energy   -2.11 eV per atom
Total magnetization   0.0 μB/cell
E_form (uncorrected)   -0.8206 eV/atom


(4)
Below is a relaxed Rb2SrF4 crystal, with properties calculated at the PBE level.

Unit cell a=4.7577 b=4.7577 c=7.9104 alpha=72.50 beta=72.50 gamma=90.00
Last column: nearest neighbours and their distance in Å.
Atoms (fractional coordinates):
F 0.5000 0.0000 0.0000  2 Sr 2.38
F 0.0000 0.5000 0.0000  2 Sr 2.38
F 0.8331 0.8331 0.3337  1 Sr 2.39, 1 Rb 2.66
F 0.1669 0.1669 0.6663  1 Sr 2.39, 1 Rb 2.66
Sr 0.0000 0.0000 0.0000  6 F 2.38-2.39
Rb 0.6475 0.6475 0.7050  1 F 2.66
Rb 0.3525 0.3525 0.2950  1 F 2.66

Values from the calculation:
Raw total energy   -4.76 eV per atom
Total magnetization   0.2 μB/cell
E_form (uncorrected)   -3.1716 eV/atom


(5)
Below is a relaxed RbSr3F crystal, with properties calculated at the PBE level.

Unit cell a=6.0443 b=6.0443 c=6.0443 alpha=90.00 beta=90.00 gamma=90.00
Last column: nearest neighbours and their distance in Å.
Atoms (fractional coordinates):
Sr 0.0000 0.0000 0.5000  2 F 3.02
Sr 0.5000 0.0000 0.0000  2 F 3.02
Sr 0.0000 0.5000 0.0000  2 F 3.02
F 0.0000 0.0000 0.0000  6 Sr 3.02
Rb 0.5000 0.5000 0.5000  12 Sr 4.27

Values from the calculation:
Raw total energy   -2.41 eV per atom
Total magnetization   0.0 μB/cell
E_form (uncorrected)   -0.8329 eV/atom


(6)
Below is a relaxed Rb3SrF6 crystal, with properties calculated at the PBE level.

Unit cell a=4.7229 b=8.4181 c=10.7351 alpha=90.00 beta=90.00 gamma=90.00
Last column: nearest neighbours and their distance in Å.
Atoms (fractional coordinates):
F 0.0000 0.9947 0.7719  1 Sr 2.45
F 0.5000 0.1211 0.9750  1 F 2.11
F 0.5000 0.5053 0.2719  1 Sr 2.45
F 0.5000 0.4947 0.7281  1 Sr 2.45
F 0.5000 0.7972 0.4884  1 Sr 2.51
F 0.0000 0.3789 0.4749  1 F 2.11
F 0.0000 0.0053 0.2281  1 Sr 2.45
F 0.0000 0.2972 0.0115  1 Sr 2.51
F 0.0000 0.7028 0.9885  1 Sr 2.51
F 0.0000 0.6211 0.5251  1 F 2.11
F 0.5000 0.8789 0.0250  1 F 2.11
F 0.5000 0.2028 0.5116  1 Sr 2.51
Rb 0.5000 0.5000 0.0000  8 F 2.92-3.20
Rb 0.5000 0.1773 0.2479  5 F 2.77-2.97
Rb 0.0000 0.0000 0.5000  8 F 2.92-3.20
Rb 0.0000 0.6773 0.2521  5 F 2.77-2.97
Rb 0.5000 0.8227 0.7521  5 F 2.77-2.97
Rb 0.0000 0.3227 0.7479  5 F 2.77-2.97
Sr 0.0000 0.0000 0.0000  8 F 2.45-2.59
Sr 0.5000 0.5000 0.5000  8 F 2.45-2.59

Values from the calculation:
Raw total energy   -4.34 eV per atom
Total magnetization   2.4 μB/cell
E_form (uncorrected)   -2.7548 eV/atom